# 1
HfVIn2B | PBE | optimized geometry

Cell lengths 5.152, 4.699, 5.152 Å; angles 90.00, 90.00, 90.00 degrees
Positions (direct):
B 0.500 0.500 0.500
In 0.500 0.000 0.000
In 0.000 0.000 0.500
Hf 0.000 0.500 0.000
V 0.000 0.000 0.000

Calculated values
Uncorrected energy, eV/f.u.: -24.141

***

# 2
HfZrIn2B | PBE | optimized geometry

Cell lengths 4.673, 4.630, 4.673 Å; angles 90.00, 90.00, 90.00 degrees
Positions (direct):
Hf 0.000 0.500 0.000
In 0.000 0.000 0.500
In 0.500 0.000 0.000
Zr 0.500 0.500 0.500
B 0.000 0.000 0.000

Calculated values
Uncorrected energy, eV/f.u.: -29.099

***

# 3
Hf2ZrInB | PBE | optimized geometry

Cell lengths 4.608, 4.608, 4.666 Å; angles 90.00, 90.00, 90.00 degrees
Positions (direct):
B 0.000 0.000 0.000
Hf 0.000 0.500 0.000
Hf 0.500 0.000 0.000
In 0.500 0.500 0.500
Zr 0.000 0.000 0.500

Calculated values
Uncorrected energy, eV/f.u.: -39.811

***

# 4
HfBIr | PBE | optimized geometry

Cell lengths 3.111, 3.973, 3.973 Å; angles 120.00, 90.00, 90.00 degrees
Positions (direct):
Hf 0.667 0.333 0.667
B 0.167 0.667 0.333
Ir 0.167 0.000 0.000

Calculated values
Distance to the lowest polymorph of the same formula, meV/atom: 201.6
Uncorrected energy, eV/f.u.: -27.042

***

# 5
Hf3B2Ir5 | PBE | optimized geometry

Cell lengths 9.276, 9.276, 3.400 Å; angles 90.00, 90.00, 90.00 degrees
Positions (direct):
Hf 0.176 0.676 0.000
Hf 0.824 0.324 0.000
Hf 0.676 0.824 0.000
Hf 0.000 0.000 0.000
Hf 0.324 0.176 0.000
Hf 0.500 0.500 0.000
Ir 0.220 0.927 0.500
Ir 0.500 0.000 0.500
Ir 0.000 0.500 0.500
Ir 0.427 0.720 0.500
Ir 0.573 0.280 0.500
Ir 0.073 0.220 0.500
Ir 0.720 0.573 0.500
Ir 0.780 0.073 0.500
Ir 0.927 0.780 0.500
Ir 0.280 0.427 0.500
B 0.381 0.881 0.000
B 0.119 0.381 0.000
B 0.619 0.119 0.000
B 0.881 0.619 0.000

Calculated values
Uncorrected energy, eV/f.u.: -95.814

***

# 6
HfB4Ir | PBE | optimized geometry

Cell lengths 3.442, 5.919, 11.440 Å; angles 90.00, 90.00, 90.00 degrees
Positions (direct):
B 0.500 0.371 0.468
B 0.500 0.619 0.953
B 0.500 0.871 0.032
B 0.500 0.129 0.968
B 0.500 0.037 0.693
B 0.500 0.693 0.686
B 0.500 0.807 0.186
B 0.500 0.307 0.314
B 0.500 0.381 0.047
B 0.500 0.193 0.814
B 0.500 0.119 0.547
B 0.500 0.963 0.307
B 0.500 0.629 0.532
B 0.500 0.881 0.453
B 0.500 0.537 0.807
B 0.500 0.463 0.193
Hf 0.000 0.125 0.143
Hf 0.000 0.875 0.857
Hf 0.000 0.625 0.357
Hf 0.000 0.375 0.643
Ir 0.000 0.865 0.604
Ir 0.000 0.365 0.896
Ir 0.000 0.635 0.104
Ir 0.000 0.135 0.396

Calculated values
Uncorrected energy, eV/f.u.: -48.349

***

# 7
Hf4BIr2 | PBE | optimized geometry

Cell lengths 4.466, 4.466, 7.380 Å; angles 72.39, 72.39, 90.00 degrees
Positions (direct):
Ir 0.370 0.370 0.261
Ir 0.630 0.630 0.739
Hf 0.500 0.000 0.000
Hf 0.000 0.500 0.000
Hf 0.178 0.178 0.644
Hf 0.822 0.822 0.356
B 0.000 0.000 0.000

Calculated values
Uncorrected energy, eV/f.u.: -66.601

***

# 8
HfB3Ir | PBE | optimized geometry

Cell lengths 4.171, 4.171, 4.171 Å; angles 90.00, 90.00, 90.00 degrees
Positions (direct):
Ir 0.500 0.500 0.500
B 0.000 0.000 0.500
B 0.000 0.500 0.000
B 0.500 0.000 0.000
Hf 0.000 0.000 0.000

Calculated values
Distance to the lowest polymorph of the same formula, meV/atom: 1373.6
Uncorrected energy, eV/f.u.: -28.266

***

# 9
Hf2B2Ir | PBE | optimized geometry

Cell lengths 5.995, 5.995, 3.612 Å; angles 90.00, 90.00, 90.00 degrees
Positions (direct):
Hf 0.678 0.822 0.500
Hf 0.822 0.322 0.500
Hf 0.322 0.178 0.500
Hf 0.178 0.678 0.500
Ir 0.000 0.000 0.000
Ir 0.500 0.500 0.000
B 0.389 0.889 0.000
B 0.611 0.111 0.000
B 0.889 0.611 0.000
B 0.111 0.389 0.000

Calculated values
Uncorrected energy, eV/f.u.: -46.755

***

# 10
HfBIr2 | PBE | optimized geometry

Cell lengths 3.507, 3.507, 6.051 Å; angles 73.16, 73.16, 60.00 degrees
Positions (direct):
Hf 0.000 0.000 0.000
Ir 0.779 0.779 0.664
Ir 0.221 0.221 0.336
B 0.500 0.500 0.500

Calculated values
Uncorrected energy, eV/f.u.: -35.364

***

# 11
HfBIr2 | PBE | optimized geometry

Cell lengths 6.789, 6.789, 5.452 Å; angles 51.50, 51.50, 90.00 degrees
Positions (direct):
Ir 0.228 0.625 0.250
Ir 0.522 0.125 0.250
Ir 0.875 0.772 0.750
Ir 0.375 0.478 0.750
B 0.500 0.500 0.000
B 0.250 0.750 0.500
Hf 0.000 0.000 0.000
Hf 0.750 0.250 0.500

Calculated values
Uncorrected energy, eV/f.u.: -36.432

***

# 12
HfB3Ir6 | PBE | optimized geometry

Cell lengths 5.349, 5.419, 5.611 Å; angles 88.58, 108.47, 119.79 degrees
Positions (direct):
Hf 0.953 0.975 0.876
Ir 0.393 0.940 0.692
Ir 0.334 0.415 0.668
Ir 0.875 0.459 0.706
Ir 0.098 0.632 0.236
Ir 0.501 0.451 0.240
Ir 0.713 0.058 0.273
B 0.645 0.325 0.978
B 0.343 0.687 0.985
B 0.144 0.058 0.346

Calculated values
Uncorrected energy, eV/f.u.: -86.675